1.
VASP calculation (PBE) on crystalline Sc3Al2Ni7 at its relaxed geometry.

The space group is R-3m (No. 166, hexagonal axes) and the conventional cell measures 4.9991, 4.9991 and 23.1944 Å, with angles of 90.00, 90.00 and 120.00 degrees. The inequivalent atoms are Sc at (0.0000, 0.0000, 0.0000), Sc at (0.0000, 0.0000, 0.1400), Al at (0.0000, 0.0000, 0.3337), Ni at (0.0000, 0.0000, 0.5000) and Ni at (0.0024, 0.5012, 0.9161).

For the energy relative to the elements, the calculation gives -0.55 eV per atom.


2.
VASP calculation (PBE) on crystalline BeNiRu2 at its relaxed geometry.

The space group is Pm (No. 6) and the conventional cell measures 2.676, 3.826 and 4.826 Å, with angles of 90.00, 106.08 and 90.00 degrees. The inequivalent atoms are Be at (0.000, 0.000, 0.000), Ni at (0.113, 0.500, 0.231), Ru at (0.381, 0.500, 0.765) and Ru at (0.742, 0.000, 0.488).

For the energy relative to the elements, the calculation gives -0.04 eV per atom.


3.
VASP calculation (PBE) on crystalline NiSbH2S at its relaxed geometry.

The space group is P4/mmm (No. 123) and the conventional cell measures 3.485, 3.485 and 6.153 Å, with angles of 90.00, 90.00 and 90.00 degrees. The inequivalent atoms are Ni at (0.000, 0.000, 0.000), Sb at (0.500, 0.500, 0.000), H at (0.000, 0.500, 0.500) and S at (0.500, 0.500, 0.500).


4.
VASP calculation (PBE) on crystalline K3YTm3Se8 at its relaxed geometry.

The space group is R-3m (No. 166, hexagonal axes) and the conventional cell measures 8.2128, 8.2128 and 23.5625 Å, with angles of 90.00, 90.00 and 120.00 degrees. The inequivalent atoms are K at (0.0000, 0.5000, 0.0000), Y at (0.0000, 0.0000, 0.5000), Tm at (0.0000, 0.5000, 0.5000), Se at (0.0000, 0.0000, 0.2342) and Se at (0.0047, 0.5023, 0.7660).

The uncorrected formation energy is -25.15 eV/f.u.


5.
VASP calculation (PBE) on crystalline NaTb2Pb5 at its relaxed geometry.

The space group is I4mm (No. 107) and the conventional cell measures 7.098, 7.098 and 9.049 Å, with angles of 90.00, 90.00 and 90.00 degrees. The inequivalent atoms are Na at (0.000, 0.000, 0.000), Tb at (0.000, 0.500, 0.000), Pb at (0.000, 0.000, 0.501) and Pb at (0.250, 0.250, 0.250).

For the energy relative to the elements, the calculation gives -0.31 eV per atom.


6.
VASP calculation (PBE) on crystalline Ga2GeRh at its relaxed geometry.

The space group is R-3m (No. 166, hexagonal axes) and the conventional cell measures 3.0086, 3.0086 and 26.5919 Å, with angles of 90.00, 90.00 and 120.00 degrees. The inequivalent atoms are Ga at (0.0000, 0.0000, 0.0968), Ge at (0.0000, 0.0000, 0.0000) and Rh at (0.0000, 0.0000, 0.5000).

For the energy relative to the elements, the calculation gives -0.22 eV per atom.


| no. | total energy (eV per atom) |
| --- | --- |
| 1 | -6.13 |
| 2 | -7.05 |
| 3 | -3.80 |
| 4 | -5.08 |
| 5 | -3.95 |
| 6 | -4.73 |